Entry 1:
## CeNbFeP2 (PBE-GGA)

Data for an optimized crystal structure of CeNbFeP2.

Cell: 3.834 3.834 11.992 Å, 90.00 90.00 90.00°
Space group I-4m2 (No. 119)
Unique sites:
Ce 0.000 0.000 0.000 [2 per cell]
Nb 0.000 0.500 0.750 [2 per cell]
Fe 0.000 0.500 0.250 [2 per cell]
P 0.000 0.000 0.378 [4 per cell]

ΔE_f ... -0.831 eV per atom
VASP energy ... -78.88 eV per cell



Entry 2:
## CeNd3Fe (PBE-GGA)

Data for an optimized crystal structure of CeNd3Fe.

Cell: 5.412 5.412 5.412 Å, 90.00 90.00 90.00°
Space group Pm-3m (No. 221)
Unique sites:
Ce 0.000 0.000 0.000 [1 per cell]
Nd 0.000 0.500 0.500 [3 per cell]
Fe 0.500 0.500 0.500 [1 per cell]

ΔE_f ... 0.282 eV per atom
VASP energy ... -27.29 eV per cell



Entry 3:
## CeFeNi4 (PBE-GGA)

Data for an optimized crystal structure of CeFeNi4.

Cell: 4.9065 4.9065 4.0099 Å, 90.00 90.00 120.00°
Space group P-6m2 (No. 187)
Unique sites:
Ce 0.0000 0.0000 0.0000 [1 per cell]
Fe 0.3333 0.6667 0.0000 [1 per cell]
Ni 0.9997 0.4998 0.5000 [3 per cell]
Ni 0.6667 0.3333 0.0000 [1 per cell]

ΔE_f ... -0.252 eV per atom
VASP energy ... -39.04 eV per cell



Entry 4:
## CeFeNi2 (PBE-GGA)

Data for an optimized crystal structure of CeFeNi2.

Cell: 4.1005 4.1005 13.8460 Å, 90.00 90.00 120.00°
Space group R-3m (No. 166, hexagonal axes)
Unique sites:
Ce 0.0000 0.0000 0.0000 [3 per cell]
Fe 0.0000 0.0000 0.5000 [3 per cell]
Ni 0.0000 0.0000 0.1989 [6 per cell]

ΔE_f ... -0.174 eV per atom
VASP energy ... -79.97 eV per cell



Entry 5:
## Ce2FeNi (PBE-GGA)

Data for an optimized crystal structure of Ce2FeNi.

Cell: 3.347 3.347 6.930 Å, 90.00 90.00 90.00°
Space group P4/mmm (No. 123)
Unique sites:
Ce 0.000 0.000 0.243 [2 per cell]
Fe 0.500 0.500 0.000 [1 per cell]
Ni 0.500 0.500 0.500 [1 per cell]

ΔE_f ... -0.061 eV per atom
VASP energy ... -26.36 eV per cell
Relative energy among the computed polymorphs ... 0.00 eV per formula unit



Entry 6:
## Ce3Fe7Ni2 (PBE-GGA)

Data for an optimized crystal structure of Ce3Fe7Ni2.

Cell: 4.9902 4.9902 25.1789 Å, 90.00 90.00 120.00°
Space group R-3m (No. 166, hexagonal axes)
Unique sites:
Ce 0.0000 0.0000 0.0000 [3 per cell]
Ce 0.0000 0.0000 0.1406 [6 per cell]
Fe 0.0000 0.0000 0.5000 [3 per cell]
Fe 0.0003 0.5002 0.0819 [18 per cell]
Ni 0.0000 0.0000 0.3329 [6 per cell]

ΔE_f ... -0.109 eV per atom
VASP energy ... -269.72 eV per cell



Entry 7:
## CeFeNi6 (PBE-GGA)

Data for an optimized crystal structure of CeFeNi6.

Cell: 3.657 3.657 8.471 Å, 90.00 90.00 90.00°
Space group P4/mmm (No. 123)
Unique sites:
Ce 0.000 0.000 0.000 [1 per cell]
Fe 0.000 0.000 0.500 [1 per cell]
Ni 0.000 0.500 0.323 [4 per cell]
Ni 0.500 0.500 0.139 [2 per cell]

ΔE_f ... 0.044 eV per atom
VASP energy ... -48.73 eV per cell



Entry 8:
## Ce2FeNi (PBE-GGA)

Data for an optimized crystal structure of Ce2FeNi.

Cell: 2.9675 2.9675 28.3573 Å, 90.00 90.00 120.00°
Space group R-3m (No. 166, hexagonal axes)
Unique sites:
Ce 0.0000 0.0000 0.0881 [6 per cell]
Fe 0.0000 0.0000 0.5000 [3 per cell]
Ni 0.0000 0.0000 0.0000 [3 per cell]

ΔE_f ... 0.375 eV per atom
VASP energy ... -73.83 eV per cell
Relative energy among the computed polymorphs ... 1.75 eV per formula unit



Entry 9:
## CeFeNi4 (PBE-GGA)

Data for an optimized crystal structure of CeFeNi4.

Cell: 7.115 3.740 6.285 Å, 90.00 90.00 90.00°
Space group Pmma (No. 51)
Unique sites:
Ce 0.250 0.000 0.136 [2 per cell]
Fe 0.250 0.000 0.737 [2 per cell]
Ni 0.000 0.000 0.500 [2 per cell]
Ni 0.043 0.500 0.794 [4 per cell]
Ni 0.250 0.500 0.473 [2 per cell]

ΔE_f ... -0.109 eV per atom
VASP energy ... -76.36 eV per cell



Entry 10:
## CeFe2Ni5 (PBE-GGA)

Data for an optimized crystal structure of CeFe2Ni5.

Cell: 3.652 6.787 8.875 Å, 90.00 90.00 90.00°
Space group Immm (No. 71)
Unique sites:
Ce 0.000 0.000 0.000 [2 per cell]
Fe 0.000 0.500 0.258 [4 per cell]
Ni 0.000 0.182 0.354 [8 per cell]
Ni 0.000 0.500 0.000 [2 per cell]

ΔE_f ... -0.005 eV per atom
VASP energy ... -103.61 eV per cell



Entry 11:
## CeNpFeNi (PBE-GGA)

Data for an optimized crystal structure of CeNpFeNi.

Cell: 6.367 6.367 6.367 Å, 90.00 90.00 90.00°
Space group F-43m (No. 216)
Unique sites:
Ce 0.000 0.000 0.000 [4 per cell]
Np 0.250 0.250 0.250 [4 per cell]
Fe 0.000 0.000 0.500 [4 per cell]
Ni 0.250 0.250 0.750 [4 per cell]

ΔE_f ... -0.019 eV per atom
VASP energy ... -132.78 eV per cell



Entry 12:
## CeFeNiP2 (PBE-GGA)

Data for an optimized crystal structure of CeFeNiP2.

Cell: 3.881 3.881 9.787 Å, 90.00 90.00 90.00°
Space group I-4m2 (No. 119)
Unique sites:
Ce 0.000 0.000 0.000 [2 per cell]
Fe 0.000 0.500 0.750 [2 per cell]
Ni 0.000 0.500 0.250 [2 per cell]
P 0.000 0.000 0.370 [4 per cell]

ΔE_f ... -0.956 eV per atom
VASP energy ... -71.56 eV per cell